(1)
Here is a relaxed Tl3VIr crystal from the Alexandria database. Energies are from GGA-PBE. Values from VASP.

```
&SYSTEM
  ibrav = 0, nat = 5, ntyp = 3
/
ATOMIC_SPECIES
Tl 204.38 Tl.upf
V 50.94 V.upf
Ir 192.22 Ir.upf
CELL_PARAMETERS angstrom
5.266 0.000 0.000
0.000 5.266 0.000
0.000 0.000 5.266
ATOMIC_POSITIONS crystal
Tl 0.000 0.000 0.500
Tl 0.000 0.500 0.000
Tl 0.500 0.000 0.000
V 0.500 0.500 0.500
Ir 0.000 0.000 0.000
```

polymorph energy (0 for the lowest one) = 0.000 eV per atom
D(E_F) = 9.25 states/eV/cell
total energy = -21.06 eV/cell
ΔH_f (0 K) = 0.80 eV per atom
magnetic moment = 4.69 μB/f.u.

***

(2)
Here is a relaxed TlVIr3 crystal from the Alexandria database. Energies are from GGA-PBE. Values from VASP.

```
&SYSTEM
  ibrav = 0, nat = 5, ntyp = 3
/
ATOMIC_SPECIES
Tl 204.38 Tl.upf
V 50.94 V.upf
Ir 192.22 Ir.upf
CELL_PARAMETERS angstrom
4.918 0.000 0.000
0.000 4.918 0.000
0.000 0.000 4.918
ATOMIC_POSITIONS crystal
Tl 0.000 0.000 0.000
V 0.500 0.500 0.500
Ir 0.000 0.000 0.500
Ir 0.000 0.500 0.000
Ir 0.500 0.000 0.000
```

polymorph energy (0 for the lowest one) = 1.321 eV per atom
D(E_F) = 10.05 states/eV/cell
total energy = -26.05 eV/cell
ΔH_f (0 K) = 2.40 eV per atom
magnetic moment = 1.15 μB/f.u.

***

(3)
Here is a relaxed TlIrW2 crystal from the Alexandria database. Energies are from GGA-PBE. Values from VASP.

```
&SYSTEM
  ibrav = 0, nat = 8, ntyp = 3
/
ATOMIC_SPECIES
Tl 204.38 Tl.upf
Ir 192.22 Ir.upf
W 183.84 W.upf
CELL_PARAMETERS angstrom
9.618 0.000 0.000
0.000 2.860 0.000
-0.835 0.000 5.011
ATOMIC_POSITIONS crystal
Tl 0.000 0.000 0.000
Tl 0.500 0.500 0.000
Ir 0.261 0.500 0.263
Ir 0.761 0.000 0.263
W 0.236 0.000 0.714
W 0.487 0.000 0.496
W 0.736 0.500 0.714
W 0.987 0.500 0.496
```

polymorph energy (0 for the lowest one) = 0.170 eV per atom
D(E_F) = 4.97 states/eV/cell
total energy = -69.58 eV/cell
ΔH_f (0 K) = 0.59 eV per atom
magnetic moment = 0.00 μB/f.u.

***

(4)
Here is a relaxed TlIr3W crystal from the Alexandria database. Energies are from GGA-PBE. Values from VASP.

```
&SYSTEM
  ibrav = 0, nat = 5, ntyp = 3
/
ATOMIC_SPECIES
Tl 204.38 Tl.upf
Ir 192.22 Ir.upf
W 183.84 W.upf
CELL_PARAMETERS angstrom
4.818 0.000 0.000
0.000 4.818 0.000
0.000 0.000 4.818
ATOMIC_POSITIONS crystal
Tl 0.000 0.000 0.000
Ir 0.000 0.000 0.500
Ir 0.000 0.500 0.000
Ir 0.500 0.000 0.000
W 0.500 0.500 0.500
```

polymorph energy (0 for the lowest one) = 1.486 eV per atom
D(E_F) = 16.39 states/eV/cell
total energy = -27.17 eV/cell
ΔH_f (0 K) = 2.95 eV per atom
magnetic moment = 0.00 μB/f.u.

***

(5)
Here is a relaxed TlIrW2 crystal from the Alexandria database. Energies are from GGA-PBE. Values from VASP.

```
&SYSTEM
  ibrav = 0, nat = 16, ntyp = 3
/
ATOMIC_SPECIES
Tl 204.38 Tl.upf
Ir 192.22 Ir.upf
W 183.84 W.upf
CELL_PARAMETERS angstrom
3.854 0.000 0.000
0.000 3.854 0.000
0.000 0.000 19.810
ATOMIC_POSITIONS crystal
Tl 0.000 0.000 0.000
Tl 0.000 0.500 0.250
Tl 0.500 0.000 0.750
Tl 0.500 0.500 0.500
Ir 0.000 0.000 0.500
Ir 0.000 0.500 0.750
Ir 0.500 0.000 0.250
Ir 0.500 0.500 0.000
W 0.246 0.250 0.625
W 0.250 0.746 0.875
W 0.250 0.754 0.375
W 0.254 0.250 0.125
W 0.746 0.750 0.125
W 0.750 0.246 0.375
W 0.750 0.254 0.875
W 0.754 0.750 0.625
```

polymorph energy (0 for the lowest one) = 0.618 eV per atom
D(E_F) = 13.87 states/eV/cell
total energy = -132.00 eV/cell
ΔH_f (0 K) = 1.03 eV per atom
magnetic moment = 0.00 μB/f.u.

***

(6)
Here is a relaxed TlIrW2 crystal from the Alexandria database. Energies are from GGA-PBE. Values from VASP.

```
&SYSTEM
  ibrav = 0, nat = 4, ntyp = 3
/
ATOMIC_SPECIES
Tl 204.38 Tl.upf
Ir 192.22 Ir.upf
W 183.84 W.upf
CELL_PARAMETERS angstrom
3.408 0.000 0.000
0.000 3.408 0.000
0.000 0.000 6.408
ATOMIC_POSITIONS crystal
Tl 0.000 0.000 0.000
Ir 0.000 0.000 0.500
W 0.500 0.500 0.310
W 0.500 0.500 0.690
```

polymorph energy (0 for the lowest one) = 0.291 eV per atom
D(E_F) = 1.12 states/eV/cell
total energy = -34.31 eV/cell
ΔH_f (0 K) = 0.71 eV per atom
magnetic moment = 0.00 μB/f.u.